DFT (PBE-GGA) results for a relaxed NaFe2Cl8 crystal.

## Properties
Fermi-level density of states   3.65 states/eV/cell
Raw total energy   -0.2845 Ry per atom
Offset from the most stable computed form   0.000 eV per formula unit
E_form (uncorrected)   -0.8691 eV/atom
Magnetization   18.00 μB/cell

Structure (CIF):
```
data_NaFe2Cl8
_chemical_formula_sum 'Na2 Fe4 Cl16'
_space_group_name_H-M_alt 'C 1 2/m 1'
_space_group_IT_number 12
_cell_length_a 11.513
_cell_length_b 10.487
_cell_length_c 6.424
_cell_angle_alpha 90.00
_cell_angle_beta 102.75
_cell_angle_gamma 90.00
loop_
_space_group_symop_operation_xyz
'x,y,z'
'-x,-y,-z'
'-x,y,-z'
'x,-y,z'
'x+1/2,y+1/2,z'
'-x+1/2,-y+1/2,-z'
'-x+1/2,y+1/2,-z'
'x+1/2,-y+1/2,z'
loop_
_atom_site_label
_atom_site_type_symbol
_atom_site_fract_x
_atom_site_fract_y
_atom_site_fract_z
Na1 Na 0.000 0.000 0.000
Fe1 Fe 0.214 0.000 0.676
Cl1 Cl 0.100 0.500 0.168
Cl2 Cl 0.124 0.167 0.773
Cl3 Cl 0.218 0.000 0.340
```

=====

DFT (PBE-GGA) results for a relaxed K4Tl4Pt crystal.

## Properties
Fermi-level density of states   6.15 states/eV/cell
E_form   -0.111 eV per atom
Raw total energy   -0.1706 Ry per atom
Magnetization   0.00 μB/cell

Structure (CIF):
```
data_K4Tl4Pt
_chemical_formula_sum 'K8 Tl8 Pt2'
_space_group_name_H-M_alt 'I -4 2 m'
_space_group_IT_number 121
_space_group_name_Hall 'I -4 2'
_cell_length_a 6.477
_cell_length_b 6.477
_cell_length_c 16.375
_cell_angle_alpha 90.00
_cell_angle_beta 90.00
_cell_angle_gamma 90.00
loop_
_atom_site_label
_atom_site_type_symbol
_atom_site_fract_x
_atom_site_fract_y
_atom_site_fract_z
K1 K 0.228 0.228 0.163
Tl1 Tl 0.220 0.220 0.437
Pt1 Pt 0.000 0.000 0.000
```

=====

DFT (PBE-GGA) results for a relaxed SrCaLa2 crystal.

## Properties
Fermi-level density of states   8.62 states/eV/cell
E_form   0.152 eV per atom
Raw total energy   -0.2376 Ry per atom
Offset from the most stable computed form   0.433 eV per formula unit
Magnetization   0.00 μB/cell

Structure (CIF):
```
data_SrCaLa2
_chemical_formula_sum 'Sr2 Ca2 La4'
_space_group_name_H-M_alt 'I -4 m 2'
_space_group_IT_number 119
_space_group_name_Hall 'I -4 -2'
_cell_length_a 6.181
_cell_length_b 6.181
_cell_length_c 8.769
_cell_angle_alpha 90.00
_cell_angle_beta 90.00
_cell_angle_gamma 90.00
loop_
_atom_site_label
_atom_site_type_symbol
_atom_site_fract_x
_atom_site_fract_y
_atom_site_fract_z
Sr1 Sr 0.000 0.000 0.000
Ca1 Ca 0.000 0.500 0.750
La1 La 0.000 0.000 0.500
La2 La 0.000 0.500 0.250
```

=====

DFT (PBE-GGA) results for a relaxed Sc2TiSnAs crystal.

## Properties
Fermi-level density of states   4.94 states/eV/cell
E_form   0.445 eV per atom
Raw total energy   -0.3967 Ry per atom
Magnetization   2.42 μB/cell

Structure (CIF):
```
data_Sc2TiSnAs
_chemical_formula_sum 'Sc2 Ti1 Sn1 As1'
_space_group_name_H-M_alt 'P 4/m m m'
_space_group_IT_number 123
_space_group_name_Hall '-P 4 2'
_cell_length_a 5.294
_cell_length_b 5.294
_cell_length_c 5.056
_cell_angle_alpha 90.00
_cell_angle_beta 90.00
_cell_angle_gamma 90.00
loop_
_atom_site_label
_atom_site_type_symbol
_atom_site_fract_x
_atom_site_fract_y
_atom_site_fract_z
Sc1 Sc 0.000 0.500 0.000
Ti1 Ti 0.000 0.000 0.500
Sn1 Sn 0.000 0.000 0.000
As1 As 0.500 0.500 0.500
```

=====

- Which formula does entry 4 have?
  Sc2TiSnAs

=====

- What is the raw total energy in the second record?
  -0.1706 Ry per atom